# 1
InTcSe2: optimized geometry, PBE.

## Properties
DOS at the Fermi energy	2.7	states/eV/f.u.
formation energy (no corrections)	-0.05	eV per atom
ρ	6.9	g/cm³
space group	P2/m (10)
total DFT energy (no corrections)	-20.271	eV for the cell shown

a = 5.282 Å, b = 3.365 Å, c = 5.502 Å
α = 90.00°, β = 114.40°, γ = 90.00°
Positions (direct):
In 0.000 0.000 0.000
Tc 0.000 0.000 0.500
Se 0.383 0.500 0.668
Se 0.617 0.500 0.332

# 2
InTcSe2: optimized geometry, PBE.

## Properties
DOS at the Fermi energy	1.5	states/eV/f.u.
formation energy (no corrections)	0.02	eV per atom
ρ	7.4	g/cm³
space group	P4mm (99)
total DFT energy (no corrections)	-20.009	eV for the cell shown

a = 3.120 Å, b = 3.120 Å, c = 8.519 Å
α = 90.00°, β = 90.00°, γ = 90.00°
Positions (direct):
In 0.000 0.000 0.000
Tc 0.500 0.500 0.765
Se 0.000 0.000 0.615
Se 0.500 0.500 0.244